Dy4YEr2Sc (PBE, relaxed); mass density = 7.6 g cm⁻³; volume = 243 Å³ per cell; formation energy from the elements = 0.03 eV/atom
1.0
4.9607 0.0000 0.0000
0.0000 4.9607 0.0000
0.0000 0.0000 9.8720
Dy Y Er Sc
4 1 2 1
Direct
0.0000 0.5000 0.2443
0.0000 0.5000 0.7557
0.5000 0.0000 0.2443
0.5000 0.0000 0.7557
0.0000 0.0000 0.5000
0.0000 0.0000 0.0000
0.5000 0.5000 0.5000
0.5000 0.5000 0.0000

KTa2Te (PBE, relaxed); mass density = 9.3 g cm⁻³; volume = 95 Å³ per cell; raw formation energy = 1.25 eV/atom
1.0
2.9801 -5.4397 0.0000
2.9801 5.4397 0.0000
0.0000 0.0000 2.9199
K Ta Te
1 2 1
Direct
0.0000 0.0000 0.0000
0.0000 0.5000 0.5000
0.5000 0.0000 0.5000
0.5000 0.5000 0.0000

What is the volume in the first record? 243 Å³ per cell

Which value of volume does entry 1 give? 243 Å³ per cell

Which formula does entry 2 have? KTa2Te